(1)
RbAl2Sn2, optimized geometry, DFT PBE; offset from the most stable computed form = 0.0 meV/atom; M_tot = 0.0 μB per cell; space group = I4/mmm
1.0
-2.485 2.485 5.720
2.485 -2.485 5.720
2.485 2.485 -5.720
Rb Al Sn
1 2 2
direct
0.000 0.000 0.000
0.383 0.383 0.000
0.617 0.617 0.000
0.250 0.750 0.500
0.750 0.250 0.500

=====

(2)
LiPr2InPt6, optimized geometry, DFT PBE; M_tot = 0.0 μB per cell; space group = C2/m
1.0
4.919 -2.840 0.000
4.919 2.840 0.000
-3.271 0.000 8.279
Li Pr In Pt
1 2 1 6
direct
0.000 0.000 0.000
0.205 0.205 0.617
0.795 0.795 0.383
0.500 0.500 0.500
0.239 0.753 0.745
0.247 0.247 0.254
0.247 0.761 0.255
0.753 0.239 0.745
0.753 0.753 0.746
0.761 0.247 0.255

=====

Number 1: ΔE_f -0.057 eV per atom, DFT total energy -3.349 eV/atom. Number 2: ΔE_f -0.596 eV per atom, DFT total energy -5.642 eV/atom.